Density functional theory data (PBE-GGA) for a relaxed structure of ZrSiOF2.

As for the distance to the lowest polymorph of the same formula: 623 meV per atom.

The space group is P4/mmm (No. 123) and the conventional cell measures 4.597, 4.597 and 3.345 Å, with angles of 90.00, 90.00 and 90.00 degrees. The distinct sites, in fractional coordinates, are Zr at (0.000, 0.000, 0.000), Si at (0.500, 0.500, 0.500), O at (0.500, 0.500, 0.000) and F at (0.000, 0.500, 0.500).

***

Density functional theory data (PBE-GGA) for a relaxed structure of Sm4O5F.

The space group is Pmmn (No. 59, origin choice 2) and the conventional cell measures 7.594, 7.737 and 5.700 Å, with angles of 90.00, 90.00 and 90.00 degrees. The distinct sites, in fractional coordinates, are Sm at (0.002, 0.250, 0.021), Sm at (0.250, 0.501, 0.531), O at (0.021, 0.537, 0.252), O at (0.250, 0.750, 0.755) and F at (0.250, 0.250, 0.278).

***

Density functional theory data (PBE-GGA) for a relaxed structure of SmO2F3.

The space group is C2/c (No. 15) and the conventional cell measures 11.268, 5.962 and 5.440 Å, with angles of 90.00, 109.00 and 90.00 degrees. The distinct sites, in fractional coordinates, are Sm at (0.000, 0.218, 0.250), O at (0.168, 0.463, 0.149), F at (0.000, 0.385, 0.750) and F at (0.121, 0.016, 0.588).

***

Density functional theory data (PBE-GGA) for a relaxed structure of SmO2F4.

The space group is C2/m (No. 12) and the conventional cell measures 5.682, 5.633 and 6.921 Å, with angles of 90.00, 111.44 and 90.00 degrees. The distinct sites, in fractional coordinates, are Sm at (0.000, 0.000, 0.000), O at (0.194, 0.000, 0.576) and F at (0.170, 0.245, 0.804).

***

Density functional theory data (PBE-GGA) for a relaxed structure of SmTeO4F.

The space group is C2/m (No. 12) and the conventional cell measures 9.618, 7.486 and 7.136 Å, with angles of 90.00, 106.32 and 90.00 degrees. The distinct sites, in fractional coordinates, are Sm at (0.203, 0.000, 0.112), Te at (0.151, 0.500, 0.288), O at (0.042, 0.500, 0.734), O at (0.198, 0.317, 0.141), O at (0.232, 0.000, 0.462) and F at (0.020, 0.000, 0.832).

***

Number 1: E_form (uncorrected) -1.201 eV per atom. Number 2: E_form (uncorrected) -3.301 eV per atom. Number 3: E_form (uncorrected) -1.685 eV per atom. Number 4: E_form (uncorrected) -1.656 eV per atom. Number 5: E_form (uncorrected) -2.090 eV per atom.